Computed, not measured: crystalline La3Th2N4 at its relaxed geometry at the GGA-PBE level of DFT.

Unit cell a=12.381 b=3.750 c=9.206 alpha=90.00 beta=120.97 gamma=90.00
Space group C2/m (No. 12)
Inequivalent atoms, fractional coordinates:
La 0.000 0.000 0.000
La 0.205 0.000 0.809
Th 0.102 0.500 0.384
N 0.098 0.500 0.889
N 0.197 0.000 0.325

Total DFT energy (no corrections) = -8.229 eV/atom
Uncorrected formation energy = -11.14 eV/f.u.
DOS(E_F) = 11.0 states/eV/cell
V = 20.36 Å³/atom